A relaxed structure of Cs8K2Na3, computed with GGA-PBE.

- DFT formation energy (eV/f.u.) = 0.8

abc: 11.602 11.602 10.102
angles: 97.91 97.91 64.55
Sites, in units of the cell vectors:
Cs: 0.079 0.694 0.086
Cs: 0.106 0.106 0.394
Cs: 0.306 0.921 0.914
Cs: 0.333 0.333 0.702
Cs: 0.667 0.667 0.298
Cs: 0.694 0.079 0.086
Cs: 0.894 0.894 0.606
Cs: 0.921 0.306 0.914
K: 0.331 0.331 0.244
K: 0.669 0.669 0.756
Na: 0.343 0.657 0.500
Na: 0.500 0.500 0.000
Na: 0.657 0.343 0.500